# Na2TlPb6, relaxed, DFT PBE
data_Na2TlPb6
_chemical_formula_sum 'Na4 Tl2 Pb12'
_cell_length_a 16.616
_cell_length_b 6.768
_cell_length_c 5.467
_cell_angle_alpha 90.00
_cell_angle_beta 109.18
_cell_angle_gamma 90.00
_symmetry_space_group_name_H-M 'C 1 2/m 1'
_symmetry_Int_Tables_number 12
loop_
_symmetry_equiv_pos_as_xyz
'x,y,z'
'-x,-y,-z'
'-x,y,-z'
'x,-y,z'
'x+1/2,y+1/2,z'
'-x+1/2,-y+1/2,-z'
'-x+1/2,y+1/2,-z'
'x+1/2,-y+1/2,z'
loop_
_atom_site_label
_atom_site_type_symbol
_atom_site_fract_x
_atom_site_fract_y
_atom_site_fract_z
Na1 Na 0.161 0.000 0.162
Tl1 Tl 0.000 0.500 0.000
Pb1 Pb 0.108 0.260 0.607
Pb2 Pb 0.205 0.500 0.204
# Energy above the lowest structure with this stoichiometry   0 meV/atom
# Energy of formation   -0.02 eV per atom

***

# Na5TlPb3, relaxed, DFT PBE
data_Na5TlPb3
_chemical_formula_sum 'Na20 Tl4 Pb12'
_cell_length_a 15.164
_cell_length_b 11.576
_cell_length_c 10.075
_cell_angle_alpha 90.00
_cell_angle_beta 131.49
_cell_angle_gamma 90.00
_symmetry_space_group_name_H-M 'C 1 2/m 1'
_symmetry_Int_Tables_number 12
loop_
_symmetry_equiv_pos_as_xyz
'x,y,z'
'-x,-y,-z'
'-x,y,-z'
'x,-y,z'
'x+1/2,y+1/2,z'
'-x+1/2,-y+1/2,-z'
'-x+1/2,y+1/2,-z'
'x+1/2,-y+1/2,z'
loop_
_atom_site_label
_atom_site_type_symbol
_atom_site_fract_x
_atom_site_fract_y
_atom_site_fract_z
Na1 Na 0.000 0.235 0.000
Na2 Na 0.097 0.240 0.745
Na3 Na 0.246 0.000 0.245
Na4 Na 0.248 0.000 0.589
Tl1 Tl 0.237 0.500 0.064
Pb1 Pb 0.000 0.000 0.500
Pb2 Pb 0.000 0.500 0.000
Pb3 Pb 0.007 0.500 0.347
Pb4 Pb 0.008 0.000 0.834
# Energy of formation   -0.02 eV per atom

***

# NaTlPb, relaxed, DFT PBE
data_NaTlPb
_chemical_formula_sum 'Na2 Tl2 Pb2'
_cell_length_a 5.1223
_cell_length_b 5.1223
_cell_length_c 8.2771
_cell_angle_alpha 90.00
_cell_angle_beta 90.00
_cell_angle_gamma 120.00
_symmetry_space_group_name_H-M 'P 63 m c'
_symmetry_Int_Tables_number 186
_symmetry_space_group_name_Hall 'P 6c -2c'
loop_
_atom_site_label
_atom_site_type_symbol
_atom_site_fract_x
_atom_site_fract_y
_atom_site_fract_z
Na1 Na 0.0000 0.0000 0.0000
Tl1 Tl 0.3333 0.6667 0.3160
Pb1 Pb 0.3333 0.6667 0.7021
# Energy of formation   -0.05 eV per atom

***

Volume, respectively: 580.7; 1324.8; 188.1 Å³ per cell.
Uncorrected energy, respectively: -3.050; -2.251; -2.511 eV/atom.